[1]
Entry from the Alexandria database: an optimized crystal structure of SnHgPbSe3 (PBE-GGA).

Geometry as POSCAR:
```
SnHgPbSe3
1.0
-1.609 -3.262 2.306
3.712 -5.690 -5.459
7.482 0.750 6.280
Se Hg Pb Sn
6 2 2 2
direct
0.750 0.223 0.477 Se
0.750 0.404 0.145 Se
0.250 0.777 0.523 Se
0.250 0.103 0.875 Se
0.250 0.596 0.855 Se
0.750 0.897 0.125 Se
0.750 0.883 0.404 Hg
0.250 0.117 0.596 Hg
0.750 0.831 0.813 Pb
0.250 0.169 0.187 Pb
0.750 0.346 0.862 Sn
0.250 0.654 0.138 Sn
```

## Properties
Its density is 6.95 g/cm³. For the size of the total moment, the calculation gives 0.0 μB/cell. The symmetry is P2_1/m. As for the formation energy from raw total energies: -322 meV/atom. The total energy comes out at -3.3999 eV/atom.

***

[2]
Entry from the Alexandria database: an optimized crystal structure of SnHgPb2Se4 (PBE-GGA).

Geometry as POSCAR:
```
SnHgPb2Se4
1.0
4.274 0.000 0.000
0.000 7.457 -0.115
0.000 2.655 6.955
Pb Se Sn Hg
2 4 1 1
direct
0.500 0.000 0.500 Pb
0.000 0.000 0.000 Pb
0.500 0.742 0.254 Se
0.000 0.266 0.240 Se
0.000 0.734 0.760 Se
0.500 0.258 0.746 Se
0.000 0.500 0.500 Sn
0.500 0.500 0.000 Hg
```

## Properties
Its density is 7.82 g/cm³. For the size of the total moment, the calculation gives 0.0 μB/cell. The symmetry is P2/m. As for the formation energy from raw total energies: -389 meV/atom. The total energy comes out at -3.5964 eV/atom.

***

[3]
Entry from the Alexandria database: an optimized crystal structure of SnHg2PbSe4 (PBE-GGA).

Geometry as POSCAR:
```
SnHg2PbSe4
1.0
6.728 0.000 0.000
0.000 9.293 0.000
0.000 0.000 8.690
Se Hg Pb Sn
8 4 2 2
direct
0.901 0.372 0.755 Se
0.398 0.183 0.500 Se
0.876 0.809 0.500 Se
0.401 0.628 0.745 Se
0.376 0.191 0.000 Se
0.401 0.628 0.255 Se
0.901 0.372 0.245 Se
0.898 0.817 0.000 Se
0.994 0.661 0.752 Hg
0.494 0.339 0.748 Hg
0.994 0.661 0.248 Hg
0.494 0.339 0.252 Hg
0.970 0.175 0.500 Pb
0.470 0.825 0.000 Pb
0.967 0.187 0.000 Sn
0.467 0.813 0.500 Sn
```

## Properties
Its density is 6.38 g/cm³. For the size of the total moment, the calculation gives 0.0 μB/cell. The symmetry is Pmn2_1. As for the formation energy from raw total energies: -268 meV/atom. The total energy comes out at -3.0500 eV/atom.

***

[4]
Entry from the Alexandria database: an optimized crystal structure of SrHgPb2Se (PBE-GGA).

Geometry as POSCAR:
```
SrHgPb2Se
1.0
-4.054 0.038 -4.050
3.403 -2.605 -3.431
-1.946 -5.045 1.900
Se Hg Pb Sr
1 1 2 1
direct
0.000 0.500 0.000 Se
0.000 0.000 0.000 Hg
0.000 0.000 0.500 Pb
0.500 0.000 0.000 Pb
0.500 0.500 0.500 Sr
```

## Properties
Its density is 7.20 g/cm³. For the size of the total moment, the calculation gives 0.0 μB/cell. The symmetry is P4/mmm. As for the formation energy from raw total energies: 31 meV/atom. The total energy comes out at -2.5463 eV/atom.

***

[5]
Entry from the Alexandria database: an optimized crystal structure of Sr2HgPbSe (PBE-GGA).

Geometry as POSCAR:
```
Sr2HgPbSe
1.0
6.318 0.000 0.000
0.000 5.061 0.000
0.000 0.000 6.318
Sr Se Hg Pb
2 1 1 1
direct
0.500 0.000 0.000 Sr
0.000 0.000 0.500 Sr
0.000 0.500 0.000 Se
0.000 0.000 0.000 Hg
0.500 0.500 0.500 Pb
```

## Properties
Its density is 5.44 g/cm³. For the size of the total moment, the calculation gives 0.0 μB/cell. The symmetry is P4/mmm. As for the formation energy from raw total energies: -117 meV/atom. The total energy comes out at -2.2883 eV/atom.

***

[6]
Entry from the Alexandria database: an optimized crystal structure of TiHgPbSe2 (PBE-GGA).

Geometry as POSCAR:
```
TiHgPbSe2
1.0
-1.318 -3.460 3.206
5.108 -2.592 -0.697
1.858 2.679 3.655
Se Pb Ti Hg
2 1 1 1
direct
0.000 0.000 0.500 Se
0.500 0.000 0.000 Se
0.000 0.500 0.000 Pb
0.000 0.000 0.000 Ti
0.500 0.500 0.500 Hg
```

## Properties
Its density is 7.36 g/cm³. For the size of the total moment, the calculation gives 0.0 μB/cell. The symmetry is P4/mmm. As for the formation energy from raw total energies: -283 meV/atom. The total energy comes out at -4.0582 eV/atom.

***

[7]
Entry from the Alexandria database: an optimized crystal structure of TlHgPbSe (PBE-GGA).

Geometry as POSCAR:
```
TlHgPbSe
1.0
-1.343 -3.166 -3.828
3.542 -3.003 -2.218
-1.612 -10.719 5.971
Pb Tl Se Hg
2 2 2 2
direct
0.207 0.207 0.379 Pb
0.793 0.793 0.621 Pb
0.606 0.606 0.181 Tl
0.394 0.394 0.819 Tl
0.123 0.123 0.630 Se
0.877 0.877 0.370 Se
0.306 0.306 0.082 Hg
0.694 0.694 0.918 Hg
```

## Properties
Its density is 8.33 g/cm³. For the size of the total moment, the calculation gives 0.0 μB/cell. The symmetry is R-3m. The calculation puts the energy above the most stable polymorph in this dataset at 0.0 kJ per mole of atoms. As for the formation energy from raw total energies: -156 meV/atom. The total energy comes out at -2.6209 eV/atom.

***

[8]
Entry from the Alexandria database: an optimized crystal structure of TlHgPb2Se4 (PBE-GGA).

Geometry as POSCAR:
```
TlHgPb2Se4
1.0
-3.050 1.553 2.638
-0.315 -7.503 0.514
10.274 0.367 11.662
Se Pb Tl Hg
8 4 2 2
direct
0.271 0.542 0.385 Se
0.456 0.912 0.750 Se
0.729 0.458 0.615 Se
0.000 0.000 0.000 Se
0.729 0.458 0.885 Se
0.271 0.542 0.115 Se
0.000 0.000 0.500 Se
0.544 0.088 0.250 Se
0.631 0.261 0.055 Pb
0.631 0.261 0.445 Pb
0.369 0.739 0.555 Pb
0.369 0.739 0.945 Pb
0.127 0.254 0.750 Tl
0.873 0.746 0.250 Tl
0.151 0.302 0.250 Hg
0.849 0.698 0.750 Hg
```

## Properties
Its density is 7.78 g/cm³. For the size of the total moment, the calculation gives 0.0 μB/cell. The symmetry is Cmcm. As for the formation energy from raw total energies: -303 meV/atom. The total energy comes out at -3.3056 eV/atom.

***

[9]
Entry from the Alexandria database: an optimized crystal structure of Tl2Hg2PbSe4 (PBE-GGA).

Geometry as POSCAR:
```
Tl2Hg2PbSe4
1.0
4.379 0.000 0.000
0.000 7.973 0.253
-2.189 -2.914 7.726
Pb Se Tl Hg
1 4 2 2
direct
0.000 0.000 0.000 Pb
0.519 0.736 0.039 Se
0.793 0.793 0.586 Se
0.481 0.264 0.961 Se
0.207 0.207 0.414 Se
0.121 0.549 0.242 Tl
0.879 0.451 0.758 Tl
0.331 0.006 0.663 Hg
0.669 0.994 0.337 Hg
```

## Properties
Its density is 8.11 g/cm³. For the size of the total moment, the calculation gives 0.0 μB/cell. The symmetry is C2/m. As for the formation energy from raw total energies: -302 meV/atom. The total energy comes out at -2.8558 eV/atom.

***

[10]
Entry from the Alexandria database: an optimized crystal structure of TlHgPbSe (PBE-GGA).

Geometry as POSCAR:
```
TlHgPbSe
1.0
-2.977 4.408 1.085
-5.416 -0.245 -0.282
-2.967 0.221 4.540
Tl Pb Se Hg
1 1 1 1
direct
0.500 0.500 0.500 Tl
0.000 0.000 0.000 Pb
0.250 0.250 0.250 Se
0.750 0.750 0.750 Hg
```

## Properties
Its density is 10.15 g/cm³. For the size of the total moment, the calculation gives 0.0 μB/cell. The symmetry is F-43m. The calculation puts the energy above the most stable polymorph in this dataset at 4.4 kJ per mole of atoms. As for the formation energy from raw total energies: -110 meV/atom. The total energy comes out at -2.5750 eV/atom.

***

[11]
Entry from the Alexandria database: an optimized crystal structure of TlHgPbSe3 (PBE-GGA).

Geometry as POSCAR:
```
TlHgPbSe3
1.0
-2.744 -1.399 -2.968
-3.057 -5.852 5.584
-6.136 7.584 2.099
Se Hg Pb Tl
6 2 2 2
direct
0.250 0.553 0.832 Se
0.250 0.075 0.880 Se
0.750 0.925 0.120 Se
0.750 0.228 0.506 Se
0.750 0.447 0.168 Se
0.250 0.772 0.494 Se
0.250 0.106 0.616 Hg
0.750 0.894 0.384 Hg
0.250 0.674 0.118 Pb
0.750 0.326 0.882 Pb
0.750 0.796 0.761 Tl
0.250 0.204 0.239 Tl
```

## Properties
Its density is 7.74 g/cm³. For the size of the total moment, the calculation gives 0.0 μB/cell. The symmetry is P2_1/m. As for the formation energy from raw total energies: -243 meV/atom. The total energy comes out at -3.0477 eV/atom.

***

[12]
Entry from the Alexandria database: an optimized crystal structure of Tm6Hg2PbSe3 (PBE-GGA).

Geometry as POSCAR:
```
Tm6Hg2PbSe3
1.0
-2.383 -2.652 -1.672
2.177 -5.862 6.194
-6.324 6.428 3.454
Tm Se Hg Pb
6 3 2 1
direct
0.341 0.381 0.683 Tm
0.325 0.897 0.650 Tm
0.995 0.731 0.989 Tm
0.675 0.103 0.350 Tm
0.005 0.269 0.011 Tm
0.659 0.619 0.317 Tm
0.500 0.500 0.000 Se
0.838 0.145 0.677 Se
0.162 0.855 0.323 Se
0.182 0.378 0.364 Hg
0.818 0.622 0.636 Hg
0.500 0.000 0.000 Pb
```

## Properties
Its density is 10.10 g/cm³. For the size of the total moment, the calculation gives 0.0 μB/cell. The symmetry is C2/m. As for the formation energy from raw total energies: -1055 meV/atom. The total energy comes out at -4.5212 eV/atom.

***

[13]
Entry from the Alexandria database: an optimized crystal structure of UHg2PbSe6 (PBE-GGA).

Geometry as POSCAR:
```
UHg2PbSe6
1.0
7.292 0.000 0.000
3.646 6.315 0.000
3.646 2.104 6.645
Se Hg U Pb
6 2 1 1
direct
0.690 0.099 0.805 Se
0.533 0.226 0.299 Se
0.942 0.533 0.299 Se
0.099 0.407 0.804 Se
0.407 0.690 0.805 Se
0.226 0.942 0.298 Se
0.573 0.573 0.280 Hg
0.059 0.060 0.822 Hg
0.316 0.316 0.052 U
0.816 0.816 0.552 Pb
```

## Properties
Its density is 7.16 g/cm³. For the size of the total moment, the calculation gives 0.0 μB/cell. The symmetry is R-3. As for the formation energy from raw total energies: -451 meV/atom. The total energy comes out at -4.1013 eV/atom.